First-principles (PBE) data for a relaxed Rb2NbAgF6 crystal, as listed in the Alexandria database.

Results
* total magnetic moment: 7.9 μB per cell
* formation energy from raw total energies: -2.3761 eV per atom
* crystal system: cubic

Structure (CIF):
```
data_Rb2NbAgF6
_chemical_formula_sum 'Rb8 Nb4 Ag4 F24'
_space_group_name_H-M_alt 'F m -3 m'
_space_group_IT_number 225
_space_group_name_Hall '-F 4 2 3'
_cell_length_a 9.098
_cell_length_b 9.098
_cell_length_c 9.098
_cell_angle_alpha 90.00
_cell_angle_beta 90.00
_cell_angle_gamma 90.00
loop_
_atom_site_label
_atom_site_type_symbol
_atom_site_fract_x
_atom_site_fract_y
_atom_site_fract_z
Rb1 Rb 0.250 0.250 0.250
Nb1 Nb 0.000 0.000 0.000
Ag1 Ag 0.000 0.000 0.500
F1 F 0.000 0.000 0.232
```

---

First-principles (PBE) data for a relaxed Nb2AgSeF crystal, as listed in the Alexandria database.

Results
* total magnetic moment: 0.0 μB per cell
* formation energy from raw total energies: 0.7093 eV per atom
* crystal system: tetragonal

Structure (CIF):
```
data_Nb2AgSeF
_chemical_formula_sum 'Nb2 Ag1 Se1 F1'
_space_group_name_H-M_alt 'P 4/m m m'
_space_group_IT_number 123
_space_group_name_Hall '-P 4 2'
_cell_length_a 4.823
_cell_length_b 4.823
_cell_length_c 4.896
_cell_angle_alpha 90.00
_cell_angle_beta 90.00
_cell_angle_gamma 90.00
loop_
_atom_site_label
_atom_site_type_symbol
_atom_site_fract_x
_atom_site_fract_y
_atom_site_fract_z
Nb1 Nb 0.000 0.500 0.000
Ag1 Ag 0.000 0.000 0.500
Se1 Se 0.000 0.000 0.000
F1 F 0.500 0.500 0.500
```

---

First-principles (PBE) data for a relaxed TaNbAg2F crystal, as listed in the Alexandria database.

Results
* total magnetic moment: 0.0 μB per cell
* formation energy from raw total energies: 0.3563 eV per atom
* crystal system: tetragonal

Structure (CIF):
```
data_TaNbAg2F
_chemical_formula_sum 'Ta1 Nb1 Ag2 F1'
_space_group_name_H-M_alt 'P 4/m m m'
_space_group_IT_number 123
_space_group_name_Hall '-P 4 2'
_cell_length_a 4.551
_cell_length_b 4.551
_cell_length_c 4.182
_cell_angle_alpha 90.00
_cell_angle_beta 90.00
_cell_angle_gamma 90.00
loop_
_atom_site_label
_atom_site_type_symbol
_atom_site_fract_x
_atom_site_fract_y
_atom_site_fract_z
Ta1 Ta 0.000 0.000 0.000
Nb1 Nb 0.500 0.500 0.000
Ag1 Ag 0.000 0.500 0.500
F1 F 0.500 0.500 0.500
```

---

- Which formula does entry 3 have?
  TaNbAg2F